The following is a DFT calculation (PBE-GGA) of a relaxed structure of Rb3Y2ErO6.

Unit cell a=6.0687 b=6.0687 c=6.8644 alpha=98.48 beta=98.48 gamma=120.00
Atoms (fractional coordinates):
Rb: 0.0000 0.0000 0.0000
Rb: 0.3334 0.6666 0.0000
Rb: 0.6666 0.3334 0.0000
Y: 0.1667 0.8333 0.5000
Y: 0.8333 0.1667 0.5000
Er: 0.5000 0.5000 0.5000
O: 0.1114 0.4416 0.3248
O: 0.2283 0.2283 0.6753
O: 0.4416 0.1114 0.3248
O: 0.5584 0.8886 0.6752
O: 0.7717 0.7717 0.3247
O: 0.8886 0.5584 0.6752

Raw formation energy   -2.693 eV per atom
Crystal system   monoclinic
E   -82.5 eV per cell
Total moment   0.0 μB per formula unit